VASP calculation (PBE) on a geometry-optimized TlTe2MoAuS structure.

a = 7.984 Å, b = 7.984 Å, c = 10.103 Å
α = 90.00°, β = 90.00°, γ = 151.00°
Fractional positions:
Au 0.536 0.464 0.250
Au 0.464 0.536 0.750
Mo 0.000 0.000 0.000
Mo 0.000 0.000 0.500
S 0.941 0.059 0.250
S 0.059 0.941 0.750
Te 0.630 0.370 0.025
Te 0.630 0.370 0.475
Te 0.370 0.630 0.525
Te 0.370 0.630 0.975
Tl 0.246 0.754 0.250
Tl 0.754 0.246 0.750

Values from the calculation:
V (Å³ per atom): 26.02
Space group: No. 63
Total energy (eV per cell): -53.63